<one>
# PBE Ca2ReO6, relaxed
data_Ca2ReO6
_chemical_formula_sum 'Ca4 Re2 O12'
_symmetry_space_group_name_H-M 'P 1 21/c 1'
_symmetry_Int_Tables_number 14
_cell_length_a 5.615
_cell_length_b 5.898
_cell_length_c 9.318
_cell_angle_alpha 90.00
_cell_angle_beta 120.06
_cell_angle_gamma 90.00
loop_
_symmetry_equiv_pos_as_xyz
'x,y,z'
'-x,-y,-z'
'-x,y+1/2,-z+1/2'
'x,-y+1/2,z+1/2'
loop_
_atom_site_label
_atom_site_type_symbol
_atom_site_fract_x
_atom_site_fract_y
_atom_site_fract_z
Ca1 Ca 0.183 0.084 0.228
Re1 Re 0.500 0.000 0.000
O1 O 0.182 0.169 0.951
O2 O 0.268 0.745 0.895
O3 O 0.463 0.092 0.796
# ρ in Mg/m³: 4.51
# Total moment in μB per atom: 0.12

<two>
# PBE Ca2ReO6, relaxed
data_Ca2ReO6
_chemical_formula_sum 'Ca4 Re2 O12'
_symmetry_space_group_name_H-M 'P 42/m n m'
_symmetry_Int_Tables_number 136
_symmetry_space_group_name_Hall '-P 4n 2n'
_cell_length_a 5.095
_cell_length_b 5.095
_cell_length_c 10.044
_cell_angle_alpha 90.00
_cell_angle_beta 90.00
_cell_angle_gamma 90.00
loop_
_atom_site_label
_atom_site_type_symbol
_atom_site_fract_x
_atom_site_fract_y
_atom_site_fract_z
Ca1 Ca 0.000 0.000 0.168
Re1 Re 0.000 0.000 0.500
O1 O 0.181 0.181 0.364
O2 O 0.236 0.236 0.000
# ρ in Mg/m³: 4.62
# Total moment in μB per atom: 0.11

From most stable to least stable, the computed energies give <two>, <one>.

<one>
# PBE Ca2ScReO6, relaxed
data_Ca2ScReO6
_chemical_formula_sum 'Ca4 Sc2 Re2 O12'
_symmetry_space_group_name_H-M 'P n n m'
_symmetry_Int_Tables_number 58
_cell_length_a 5.748
_cell_length_b 8.011
_cell_length_c 5.612
_cell_angle_alpha 90.00
_cell_angle_beta 90.00
_cell_angle_gamma 90.00
loop_
_symmetry_equiv_pos_as_xyz
'x,y,z'
'-x,-y,-z'
'-x,-y,z'
'x,y,-z'
'x+1/2,-y+1/2,-z+1/2'
'-x+1/2,y+1/2,z+1/2'
'-x+1/2,y+1/2,-z+1/2'
'x+1/2,-y+1/2,z+1/2'
loop_
_atom_site_label
_atom_site_type_symbol
_atom_site_fract_x
_atom_site_fract_y
_atom_site_fract_z
Ca1 Ca 0.052 0.244 0.000
Sc1 Sc 0.000 0.500 0.500
Re1 Re 0.000 0.000 0.500
O1 O 0.017 0.756 0.500
O2 O 0.241 0.003 0.255
# ρ in Mg/m³: 5.23
# Total moment in μB per atom: 0.17

<two>
# PBE Ca2ScReO6, relaxed
data_Ca2ScReO6
_chemical_formula_sum 'Ca2 Sc1 Re1 O6'
_symmetry_space_group_name_H-M 'P 4 m m'
_symmetry_Int_Tables_number 99
_cell_length_a 5.401
_cell_length_b 5.401
_cell_length_c 4.862
_cell_angle_alpha 90.00
_cell_angle_beta 90.00
_cell_angle_gamma 90.00
loop_
_symmetry_equiv_pos_as_xyz
'x,y,z'
'-y,x,z'
'-x,-y,z'
'y,-x,z'
'-x,y,z'
'y,x,z'
'x,-y,z'
'-y,-x,z'
loop_
_atom_site_label
_atom_site_type_symbol
_atom_site_fract_x
_atom_site_fract_y
_atom_site_fract_z
Ca1 Ca 0.000 0.500 0.000
Sc1 Sc 0.000 0.000 0.591
Re1 Re 0.500 0.500 0.567
O1 O 0.000 0.000 0.194
O2 O 0.262 0.262 0.723
O3 O 0.500 0.500 0.206
# ρ in Mg/m³: 4.77
# Total moment in μB per atom: 0.00

From most stable to least stable, the computed energies give <one>, <two>.